1.
# PBE SiSb2RhS, relaxed
data_SiSb2RhS
_chemical_formula_sum 'Si1 Sb2 Rh1 S1'
_space_group_name_H-M_alt 'P 1'
_space_group_IT_number 1
_cell_length_a 5.238
_cell_length_b 4.450
_cell_length_c 5.238
_cell_angle_alpha 90.00
_cell_angle_beta 90.00
_cell_angle_gamma 90.00
loop_
_space_group_symop_operation_xyz
'x,y,z'
loop_
_atom_site_label
_atom_site_type_symbol
_atom_site_fract_x
_atom_site_fract_y
_atom_site_fract_z
_atom_site_occupancy
Sb1 Sb 0.000 0.000 0.500 1
Sb2 Sb 0.500 0.000 0.000 1
S1 S 0.500 0.500 0.500 1
Rh1 Rh 0.000 0.000 0.000 1
Si1 Si 0.000 0.500 0.000 1
# - energy relative to the elements, uncorrected (eV per atom) = 0.350
# - symmetry = No. 123
# - density of states at the Fermi level (states/eV/f.u.) = 3.9
# - total magnetic moment (μB per formula unit) = 0.000
# - mass density (g/cm³) = 5.53

***

2.
# PBE SbTe2RhS, relaxed
data_SbTe2RhS
_chemical_formula_sum 'Sb1 Te2 Rh1 S1'
_space_group_name_H-M_alt 'P 1'
_space_group_IT_number 1
_cell_length_a 5.106
_cell_length_b 5.106
_cell_length_c 5.134
_cell_angle_alpha 90.00
_cell_angle_beta 90.00
_cell_angle_gamma 90.00
loop_
_space_group_symop_operation_xyz
'x,y,z'
loop_
_atom_site_label
_atom_site_type_symbol
_atom_site_fract_x
_atom_site_fract_y
_atom_site_fract_z
_atom_site_occupancy
Sb1 Sb 0.000 0.000 0.500 1
S1 S 0.000 0.000 0.000 1
Te1 Te 0.000 0.500 0.000 1
Te2 Te 0.500 0.000 0.000 1
Rh1 Rh 0.500 0.500 0.500 1
# - energy relative to the elements, uncorrected (eV per atom) = 0.903
# - symmetry = No. 123
# - density of states at the Fermi level (states/eV/f.u.) = 4.4
# - total magnetic moment (μB per formula unit) = 0.578
# - energy above the lowest structure with this stoichiometry (eV/atom) = 0.3615
# - mass density (g/cm³) = 6.35

***

3.
# PBE SbTe2RhS, relaxed
data_SbTe2RhS
_chemical_formula_sum 'Sb1 Te2 Rh1 S1'
_space_group_name_H-M_alt 'P 1'
_space_group_IT_number 1
_cell_length_a 5.196
_cell_length_b 5.196
_cell_length_c 5.112
_cell_angle_alpha 90.00
_cell_angle_beta 90.00
_cell_angle_gamma 90.00
loop_
_space_group_symop_operation_xyz
'x,y,z'
loop_
_atom_site_label
_atom_site_type_symbol
_atom_site_fract_x
_atom_site_fract_y
_atom_site_fract_z
_atom_site_occupancy
Sb1 Sb 0.000 0.000 0.500 1
S1 S 0.500 0.500 0.500 1
Te1 Te 0.000 0.500 0.000 1
Te2 Te 0.500 0.000 0.000 1
Rh1 Rh 0.000 0.000 0.000 1
# - energy relative to the elements, uncorrected (eV per atom) = 0.541
# - symmetry = No. 123
# - density of states at the Fermi level (states/eV/f.u.) = 7.6
# - total magnetic moment (μB per formula unit) = 0.000
# - energy above the lowest structure with this stoichiometry (eV/atom) = 0.0000
# - mass density (g/cm³) = 6.16

***

4.
# PBE Sb2TeRhS, relaxed
data_Sb2TeRhS
_chemical_formula_sum 'Sb2 Te1 Rh1 S1'
_space_group_name_H-M_alt 'P 1'
_space_group_IT_number 1
_cell_length_a 5.099
_cell_length_b 5.099
_cell_length_c 5.063
_cell_angle_alpha 90.00
_cell_angle_beta 90.00
_cell_angle_gamma 90.00
loop_
_space_group_symop_operation_xyz
'x,y,z'
loop_
_atom_site_label
_atom_site_type_symbol
_atom_site_fract_x
_atom_site_fract_y
_atom_site_fract_z
_atom_site_occupancy
Sb1 Sb 0.000 0.500 0.000 1
Sb2 Sb 0.500 0.000 0.000 1
S1 S 0.000 0.000 0.000 1
Te1 Te 0.000 0.000 0.500 1
Rh1 Rh 0.500 0.500 0.500 1
# - energy relative to the elements, uncorrected (eV per atom) = 0.862
# - symmetry = No. 123
# - density of states at the Fermi level (states/eV/f.u.) = 3.3
# - total magnetic moment (μB per formula unit) = 0.000
# - energy above the lowest structure with this stoichiometry (eV/atom) = 0.7221
# - mass density (g/cm³) = 6.38

***

5.
# PBE Sb2TeRhS, relaxed
data_Sb2TeRhS
_chemical_formula_sum 'Sb2 Te1 Rh1 S1'
_space_group_name_H-M_alt 'P 1'
_space_group_IT_number 1
_cell_length_a 5.426
_cell_length_b 4.336
_cell_length_c 5.426
_cell_angle_alpha 90.00
_cell_angle_beta 90.00
_cell_angle_gamma 90.00
loop_
_space_group_symop_operation_xyz
'x,y,z'
loop_
_atom_site_label
_atom_site_type_symbol
_atom_site_fract_x
_atom_site_fract_y
_atom_site_fract_z
_atom_site_occupancy
Sb1 Sb 0.000 0.000 0.500 1
Sb2 Sb 0.500 0.000 0.000 1
S1 S 0.000 0.500 0.000 1
Te1 Te 0.500 0.500 0.500 1
Rh1 Rh 0.000 0.000 0.000 1
# - energy relative to the elements, uncorrected (eV per atom) = 0.140
# - symmetry = No. 123
# - density of states at the Fermi level (states/eV/f.u.) = 5.6
# - total magnetic moment (μB per formula unit) = 0.000
# - energy above the lowest structure with this stoichiometry (eV/atom) = 0.0000
# - mass density (g/cm³) = 6.58

***

6.
# PBE Sb2TeRhS, relaxed
data_Sb2TeRhS
_chemical_formula_sum 'Sb2 Te1 Rh1 S1'
_space_group_name_H-M_alt 'P 1'
_space_group_IT_number 1
_cell_length_a 5.109
_cell_length_b 5.109
_cell_length_c 5.232
_cell_angle_alpha 90.00
_cell_angle_beta 90.00
_cell_angle_gamma 90.00
loop_
_space_group_symop_operation_xyz
'x,y,z'
loop_
_atom_site_label
_atom_site_type_symbol
_atom_site_fract_x
_atom_site_fract_y
_atom_site_fract_z
_atom_site_occupancy
Sb1 Sb 0.000 0.500 0.000 1
Sb2 Sb 0.500 0.000 0.000 1
S1 S 0.500 0.500 0.500 1
Te1 Te 0.000 0.000 0.500 1
Rh1 Rh 0.000 0.000 0.000 1
# - energy relative to the elements, uncorrected (eV per atom) = 0.488
# - symmetry = No. 123
# - density of states at the Fermi level (states/eV/f.u.) = 6.3
# - total magnetic moment (μB per formula unit) = 0.000
# - energy above the lowest structure with this stoichiometry (eV/atom) = 0.3477
# - mass density (g/cm³) = 6.16

***

7.
# PBE Sc2Rh2S, relaxed
data_Sc2Rh2S
_chemical_formula_sum 'Sc2 Rh2 S1'
_space_group_name_H-M_alt 'P 1'
_space_group_IT_number 1
_cell_length_a 3.655
_cell_length_b 3.655
_cell_length_c 7.527
_cell_angle_alpha 75.95
_cell_angle_beta 75.95
_cell_angle_gamma 90.00
loop_
_space_group_symop_operation_xyz
'x,y,z'
loop_
_atom_site_label
_atom_site_type_symbol
_atom_site_fract_x
_atom_site_fract_y
_atom_site_fract_z
_atom_site_occupancy
Sc1 Sc 0.387 0.387 0.226 1
Sc2 Sc 0.613 0.613 0.774 1
S1 S 0.000 0.000 0.000 1
Rh1 Rh 0.750 0.250 0.500 1
Rh2 Rh 0.250 0.750 0.500 1
# - energy relative to the elements, uncorrected (eV per atom) = -0.739
# - symmetry = No. 139
# - density of states at the Fermi level (states/eV/f.u.) = 3.2
# - total magnetic moment (μB per formula unit) = 0.000
# - energy above the lowest structure with this stoichiometry (eV/atom) = 0.0000
# - mass density (g/cm³) = 5.76

***

8.
# PBE ScRhS2, relaxed
data_ScRhS2
_chemical_formula_sum 'Sc2 Rh2 S4'
_space_group_name_H-M_alt 'P 1'
_space_group_IT_number 1
_cell_length_a 4.837
_cell_length_b 4.837
_cell_length_c 7.589
_cell_angle_alpha 71.42
_cell_angle_beta 71.42
_cell_angle_gamma 90.00
loop_
_space_group_symop_operation_xyz
'x,y,z'
loop_
_atom_site_label
_atom_site_type_symbol
_atom_site_fract_x
_atom_site_fract_y
_atom_site_fract_z
_atom_site_occupancy
Sc1 Sc 0.500 0.500 0.000 1
Sc2 Sc 0.250 0.750 0.500 1
S1 S 0.657 0.125 0.250 1
S2 S 0.093 0.625 0.250 1
S3 S 0.375 0.343 0.750 1
S4 S 0.875 0.907 0.750 1
Rh1 Rh 0.000 0.000 0.000 1
Rh2 Rh 0.750 0.250 0.500 1
# - energy relative to the elements, uncorrected (eV per atom) = -0.933
# - symmetry = No. 122
# - density of states at the Fermi level (states/eV/f.u.) = 2.8
# - total magnetic moment (μB per formula unit) = 0.000
# - energy above the lowest structure with this stoichiometry (eV/atom) = 0.0000
# - mass density (g/cm³) = 4.44

***

9.
# PBE ScRh3S, relaxed
data_ScRh3S
_chemical_formula_sum 'Sc1 Rh3 S1'
_space_group_name_H-M_alt 'P 1'
_space_group_IT_number 1
_cell_length_a 4.668
_cell_length_b 4.668
_cell_length_c 4.668
_cell_angle_alpha 90.00
_cell_angle_beta 90.00
_cell_angle_gamma 90.00
loop_
_space_group_symop_operation_xyz
'x,y,z'
loop_
_atom_site_label
_atom_site_type_symbol
_atom_site_fract_x
_atom_site_fract_y
_atom_site_fract_z
_atom_site_occupancy
Sc1 Sc 0.000 0.000 0.000 1
S1 S 0.500 0.500 0.500 1
Rh1 Rh 0.000 0.500 0.000 1
Rh2 Rh 0.000 0.000 0.500 1
Rh3 Rh 0.500 0.000 0.000 1
# - energy relative to the elements, uncorrected (eV per atom) = 1.113
# - symmetry = No. 221
# - density of states at the Fermi level (states/eV/f.u.) = 6.8
# - total magnetic moment (μB per formula unit) = 1.806
# - energy above the lowest structure with this stoichiometry (eV/atom) = 1.4714
# - mass density (g/cm³) = 6.30

***

10.
# PBE ScRh2S, relaxed
data_ScRh2S
_chemical_formula_sum 'Sc2 Rh4 S2'
_space_group_name_H-M_alt 'P 1'
_space_group_IT_number 1
_cell_length_a 3.886
_cell_length_b 3.886
_cell_length_c 9.069
_cell_angle_alpha 77.63
_cell_angle_beta 77.63
_cell_angle_gamma 90.00
loop_
_space_group_symop_operation_xyz
'x,y,z'
loop_
_atom_site_label
_atom_site_type_symbol
_atom_site_fract_x
_atom_site_fract_y
_atom_site_fract_z
_atom_site_occupancy
Sc1 Sc 0.000 0.000 0.000 1
Sc2 Sc 0.750 0.250 0.500 1
S1 S 0.500 0.500 0.000 1
S2 S 0.250 0.750 0.500 1
Rh1 Rh 0.601 0.125 0.250 1
Rh2 Rh 0.149 0.625 0.250 1
Rh3 Rh 0.375 0.399 0.750 1
Rh4 Rh 0.875 0.851 0.750 1
# - energy relative to the elements, uncorrected (eV per atom) = -0.533
# - symmetry = No. 122
# - density of states at the Fermi level (states/eV/f.u.) = 4.8
# - total magnetic moment (μB per formula unit) = 0.000
# - mass density (g/cm³) = 7.20

***

11.
# PBE Sc2Rh2S, relaxed
data_Sc2Rh2S
_chemical_formula_sum 'Sc4 Rh4 S2'
_space_group_name_H-M_alt 'P 1'
_space_group_IT_number 1
_cell_length_a 6.876
_cell_length_b 6.876
_cell_length_c 3.809
_cell_angle_alpha 90.00
_cell_angle_beta 90.00
_cell_angle_gamma 90.00
loop_
_space_group_symop_operation_xyz
'x,y,z'
loop_
_atom_site_label
_atom_site_type_symbol
_atom_site_fract_x
_atom_site_fract_y
_atom_site_fract_z
_atom_site_occupancy
Sc1 Sc 0.332 0.832 0.000 1
Sc2 Sc 0.832 0.668 0.000 1
Sc3 Sc 0.668 0.168 0.000 1
Sc4 Sc 0.168 0.332 0.000 1
S1 S 0.000 0.000 0.000 1
S2 S 0.500 0.500 0.000 1
Rh1 Rh 0.135 0.635 0.500 1
Rh2 Rh 0.635 0.865 0.500 1
Rh3 Rh 0.865 0.365 0.500 1
Rh4 Rh 0.365 0.135 0.500 1
# - energy relative to the elements, uncorrected (eV per atom) = -0.651
# - symmetry = No. 127
# - density of states at the Fermi level (states/eV/f.u.) = 0.7
# - total magnetic moment (μB per formula unit) = 0.000
# - energy above the lowest structure with this stoichiometry (eV/atom) = 0.0884
# - mass density (g/cm³) = 6.04

***

12.
# PBE Sc2RhS, relaxed
data_Sc2RhS
_chemical_formula_sum 'Sc2 Rh1 S1'
_space_group_name_H-M_alt 'P 1'
_space_group_IT_number 1
_cell_length_a 7.853
_cell_length_b 7.853
_cell_length_c 7.853
_cell_angle_alpha 28.71
_cell_angle_beta 28.71
_cell_angle_gamma 28.71
loop_
_space_group_symop_operation_xyz
'x,y,z'
loop_
_atom_site_label
_atom_site_type_symbol
_atom_site_fract_x
_atom_site_fract_y
_atom_site_fract_z
_atom_site_occupancy
Sc1 Sc 0.896 0.896 0.896 1
Sc2 Sc 0.104 0.104 0.104 1
S1 S 0.000 0.000 0.000 1
Rh1 Rh 0.500 0.500 0.500 1
# - energy relative to the elements, uncorrected (eV per atom) = -0.700
# - symmetry = No. 166
# - density of states at the Fermi level (states/eV/f.u.) = 2.9
# - total magnetic moment (μB per formula unit) = 0.000
# - mass density (g/cm³) = 3.78